VASP calculation (PBE-GGA) on crystalline Ti5Mn2CoPd2 at its relaxed geometry.

a = 9.9984 Å, b = 9.9984 Å, c = 2.9681 Å
α = 90.00°, β = 90.00°, γ = 90.00°
Last column: nearest neighbours and their distance in Å.
Atoms (fractional coordinates):
Ti: 0.0000 0.5000 0.0000  4 Mn 2.36
Ti: 0.0803 0.1935 0.0000  2 Mn 2.36, 2 Co 2.57
Ti: 0.1935 0.9197 0.0000  2 Mn 2.36, 2 Co 2.57
Ti: 0.3065 0.4197 0.0000  2 Mn 2.36, 2 Co 2.57
Ti: 0.4197 0.6935 0.0000  2 Mn 2.36, 2 Co 2.57
Ti: 0.5000 0.0000 0.0000  4 Mn 2.36
Ti: 0.5803 0.3065 0.0000  2 Mn 2.36, 2 Co 2.57
Ti: 0.6935 0.5803 0.0000  2 Mn 2.36, 2 Co 2.57
Ti: 0.8065 0.0803 0.0000  2 Mn 2.36, 2 Co 2.57
Ti: 0.9197 0.8065 0.0000  2 Mn 2.36, 2 Co 2.57
Mn: 0.1297 0.3703 0.5000  6 Ti 2.36
Mn: 0.3703 0.8703 0.5000  6 Ti 2.36
Mn: 0.6297 0.1297 0.5000  6 Ti 2.36
Mn: 0.8703 0.6297 0.5000  6 Ti 2.36
Co: 0.0000 0.0000 0.5000  8 Ti 2.57
Co: 0.5000 0.5000 0.5000  8 Ti 2.57
Pd: 0.1688 0.6688 0.5000  6 Ti 2.81-2.93, 3 Mn 2.85-3.01, 2 Pd 2.97
Pd: 0.3312 0.1688 0.5000  6 Ti 2.81-2.93, 3 Mn 2.85-3.01, 2 Pd 2.97
Pd: 0.6688 0.8312 0.5000  6 Ti 2.81-2.93, 3 Mn 2.85-3.01, 2 Pd 2.97
Pd: 0.8312 0.3312 0.5000  6 Ti 2.81-2.93, 3 Mn 2.85-3.01, 2 Pd 2.97

Output
**Energy**: -7.678 eV/atom
**ΔH_f (0 K)**: -147 meV/atom
**Space-group type**: No. 127

---

VASP calculation (PBE-GGA) on crystalline Ti5MnCo2Pd2 at its relaxed geometry.

a = 9.9657 Å, b = 9.9657 Å, c = 2.9646 Å
α = 90.00°, β = 90.00°, γ = 90.00°
Last column: nearest neighbours and their distance in Å.
Atoms (fractional coordinates):
Ti: 0.0000 0.5000 0.0000  4 Co 2.35
Ti: 0.0744 0.1904 0.0000  2 Co 2.39, 2 Mn 2.52
Ti: 0.1904 0.9256 0.0000  2 Co 2.39, 2 Mn 2.52
Ti: 0.3096 0.4256 0.0000  2 Co 2.39, 2 Mn 2.52
Ti: 0.4256 0.6904 0.0000  2 Co 2.39, 2 Mn 2.52
Ti: 0.5000 0.0000 0.0000  4 Co 2.35
Ti: 0.5744 0.3096 0.0000  2 Co 2.39, 2 Mn 2.52
Ti: 0.6904 0.5744 0.0000  2 Co 2.39, 2 Mn 2.52
Ti: 0.8096 0.0744 0.0000  2 Co 2.39, 2 Mn 2.52
Ti: 0.9256 0.8096 0.0000  2 Co 2.39, 2 Mn 2.52
Mn: 0.0000 0.0000 0.5000  8 Ti 2.52
Mn: 0.5000 0.5000 0.5000  8 Ti 2.52
Co: 0.1293 0.3707 0.5000  6 Ti 2.35-2.39
Co: 0.3707 0.8707 0.5000  6 Ti 2.35-2.39
Co: 0.6293 0.1293 0.5000  6 Ti 2.35-2.39
Co: 0.8707 0.6293 0.5000  6 Ti 2.35-2.39
Pd: 0.1696 0.6696 0.5000  6 Ti 2.81-2.96, 3 Co 2.83-3.01, 2 Pd 2.96
Pd: 0.3304 0.1696 0.5000  6 Ti 2.81-2.96, 3 Co 2.83-3.01, 2 Pd 2.96
Pd: 0.6696 0.8304 0.5000  6 Ti 2.81-2.96, 3 Co 2.83-3.01, 2 Pd 2.96
Pd: 0.8304 0.3304 0.5000  6 Ti 2.81-2.96, 3 Co 2.83-3.01, 2 Pd 2.96

Output
**Energy**: -7.585 eV/atom
**ΔH_f (0 K)**: -261 meV/atom
**Space-group type**: No. 127

---

VASP calculation (PBE-GGA) on crystalline MnTlCoPd2 at its relaxed geometry.

a = 4.5688 Å, b = 4.5688 Å, c = 4.8007 Å
α = 90.00°, β = 90.00°, γ = 90.00°
Last column: nearest neighbours and their distance in Å.
Atoms (fractional coordinates):
Mn: 0.0000 0.0000 0.0000  4 Tl 3.23, 8 Pd 3.31
Tl: 0.5000 0.5000 0.0000  2 Co 2.40
Co: 0.5000 0.5000 0.5000  4 Pd 2.28, 2 Tl 2.40
Pd: 0.0000 0.5000 0.5000  2 Co 2.28
Pd: 0.5000 0.0000 0.5000  2 Co 2.28

Output
**Energy**: -4.451 eV/atom
**ΔH_f (0 K)**: 1354 meV/atom
**Space-group type**: No. 123

---

Spin magnetization / μB/cell: 0.0 0.0 0.1